Density functional theory data (GGA-PBE) for a relaxed Li6Ag8Au crystal.

For the formation enthalpy at 0 K, the calculation gives -68 meV/atom. Its total energy is -2.573 eV per atom.

```
data_Li6Ag8Au
_space_group_name_H-M_alt 'R -3'
_space_group_IT_number 148
_space_group_name_Hall '-R 3'
_cell_length_a 7.5019
_cell_length_b 7.5019
_cell_length_c 16.1839
_cell_angle_alpha 90.00
_cell_angle_beta 90.00
_cell_angle_gamma 120.00
loop_
_atom_site_label
_atom_site_type_symbol
_atom_site_fract_x
_atom_site_fract_y
_atom_site_fract_z
Li1 Li 0.0032 0.6763 0.0549
Ag1 Ag 0.0000 0.0000 0.3299
Ag2 Ag 0.0019 0.6597 0.8858
Au1 Au 0.0000 0.0000 0.0000
```